# Cu11PdN4 | Alexandria | PBE | optimized geometry
# - energy relative to the elements, uncorrected (kJ per mole of atoms) = 30.73
# - size of the total moment (μB/f.u.) = 0.00
# - ΔE to the lowest computed polymorph (meV/atom) = 0.0
# - N(E_F) (states/eV/atom) = 0.157
data_Cu11PdN4
_chemical_formula_sum 'Cu11 Pd1 N4'
_symmetry_space_group_name_H-M 'P 4/m m m'
_symmetry_Int_Tables_number 123
_symmetry_space_group_name_Hall '-P 4 2'
_cell_length_a 7.617
_cell_length_b 7.617
_cell_length_c 3.925
_cell_angle_alpha 90.00
_cell_angle_beta 90.00
_cell_angle_gamma 90.00
loop_
_atom_site_label
_atom_site_fract_x
_atom_site_fract_y
_atom_site_fract_z
Cu1 0.000 0.000 0.000
Cu2 0.000 0.250 0.500
Cu3 0.000 0.500 0.000
Cu4 0.249 0.500 0.500
Pd1 0.500 0.500 0.000
N1 0.000 0.000 0.500
N2 0.000 0.500 0.500
N3 0.500 0.500 0.500